Compound: NbSeNO2
Source: Alexandria
Functional: PBEsol
Structure: optimized geometry

Output
Raw formation energy in eV per formula unit: 1.80
Symmetry: P4/mmm, No. 123
DFT total energy in eV per cell: -31.9

Geometry as CIF:
```
data_NbSeNO2
_space_group_name_H-M_alt 'P 1'
_space_group_IT_number 1
_cell_length_a 3.786
_cell_length_b 3.786
_cell_length_c 4.066
_cell_angle_alpha 90.00
_cell_angle_beta 90.00
_cell_angle_gamma 90.00
loop_
_space_group_symop_operation_xyz
'x,y,z'
loop_
_atom_site_label
_atom_site_type_symbol
_atom_site_fract_x
_atom_site_fract_y
_atom_site_fract_z
_atom_site_occupancy
Nb1 Nb 0.000 0.000 0.000 1
Se1 Se 0.500 0.500 0.500 1
N1 N 0.500 0.500 0.000 1
O1 O 0.000 0.500 0.500 1
O2 O 0.500 0.000 0.500 1
```